Arrangement w

DFT (PBE) results for a relaxed structure of Ta2TlTe.

Lattice parameters (Å, degrees): 5.375 5.375 5.247 107.35 107.35 36.78
Element x y z (fractional)
Ta  0.000  0.000  0.000
Ta  0.711  0.711  0.278
Tl  0.469  0.469  0.473
Te  0.247  0.247  0.837

Properties
Calculated volume (Å³ per atom): 21.5

=====

Arrangement x

DFT (PBE) results for a relaxed structure of Ta2TlTe.

Lattice parameters (Å, degrees): 4.849 4.849 4.849 60.00 60.00 60.00
Element x y z (fractional)
Ta  0.250  0.250  0.250
Ta  0.750  0.750  0.750
Tl  0.000  0.000  0.000
Te  0.500  0.500  0.500

Properties
Calculated volume (Å³ per atom): 20.2

=====

Stability, highest: arrangement w

=====

Arrangement w

DFT (PBE) results for a relaxed structure of CdPRh2.

Lattice parameters (Å, degrees): 3.043 4.437 5.132 90.00 107.21 90.00
Element x y z (fractional)
Cd  0.000  0.000  0.000
P  0.679  0.500  0.364
Rh  0.357  0.500  0.720
Rh  0.734  0.000  0.467

Properties
Calculated volume (Å³ per atom): 16.5

=====

Arrangement x

DFT (PBE) results for a relaxed structure of CdPRh2.

Lattice parameters (Å, degrees): 5.099 5.099 5.099 136.67 136.67 62.94
Element x y z (fractional)
Cd  0.000  0.000  0.000
P  0.250  0.750  0.500
Rh  0.500  0.500  0.000
Rh  0.750  0.250  0.500

Properties
Calculated volume (Å³ per atom): 15.4

=====

Stability, highest: arrangement w

=====

Arrangement w

DFT (PBE) results for a relaxed structure of Sr2SI.

Lattice parameters (Å, degrees): 8.430 8.430 8.430 30.11 30.11 30.11
Element x y z (fractional)
Sr  0.000  0.000  0.000
Sr  0.201  0.201  0.201
S  0.606  0.606  0.606
I  0.431  0.431  0.431

Properties
Calculated volume (Å³ per atom): 33.4

=====

Arrangement x

DFT (PBE) results for a relaxed structure of Sr2SI.

Lattice parameters (Å, degrees): 8.581 8.581 8.581 129.84 129.84 73.67
Element x y z (fractional)
Sr  0.065  0.625  0.940
Sr  0.375  0.315  0.440
Sr  0.685  0.125  0.060
Sr  0.875  0.935  0.560
S  0.000  0.000  0.000
S  0.750  0.250  0.500
I  0.250  0.750  0.500
I  0.500  0.500  0.000

Properties
Calculated volume (Å³ per atom): 45.4

=====

Stability, highest: arrangement w